LaPbNCl2 | GGA-PBE | relaxed

## Properties
Its energy relative to the elements, uncorrected is 0.482 eV per atom. The space-group type is P4/mmm (123).

POSCAR file:
```
LaPbNCl2
1.0
-3.073 2.060 -3.746
0.841 -4.232 -3.017
-5.293 -2.979 2.704
Pb N Cl La
1 1 2 1
Direct
0.000 0.000 0.000
0.500 0.500 0.500
0.000 0.500 0.000
0.500 0.000 0.000
0.000 0.000 0.500
```

La3Tb2SmY6 | GGA-PBE | relaxed

## Properties
As for the energy of formation: 16.1 meV/atom. The space-group type is C2/m (12).

POSCAR file:
```
La3Tb2SmY6
1.0
6.279 -0.001 0.002
-3.139 5.438 0.002
-1.048 -1.814 11.724
La Tb Sm Y
3 2 1 6
Direct
0.167 0.833 0.500
0.833 0.167 0.500
0.500 0.500 0.500
0.333 0.667 0.000
0.667 0.333 0.000
0.000 0.000 0.000
0.918 0.585 0.754
0.748 0.748 0.246
0.082 0.415 0.246
0.585 0.918 0.754
0.252 0.252 0.754
0.415 0.082 0.246
```

BeGeP2S | GGA-PBE | relaxed

## Properties
Its energy relative to the elements, uncorrected is 1.237 eV per atom. The space-group type is P4/mmm (123).

POSCAR file:
```
BeGeP2S
1.0
4.691 0.000 0.000
0.000 4.691 0.000
0.000 0.000 4.650
P Ge S Be
2 1 1 1
Direct
0.000 0.500 0.000
0.500 0.000 0.000
0.000 0.000 0.000
0.000 0.000 0.500
0.500 0.500 0.500
```

HfTiSi2 | GGA-PBE | relaxed

## Properties
Its energy relative to the elements, uncorrected is -0.771 eV per atom. The space-group type is Pmc2_1 (26).

POSCAR file:
```
HfTiSi2
1.0
-0.577 -3.561 0.859
3.342 0.398 3.894
-5.027 1.812 4.130
Hf Ti Si
2 2 4
Direct
0.000 0.122 0.675
0.000 0.878 0.175
0.500 0.374 0.324
0.500 0.626 0.824
0.000 0.604 0.544
0.000 0.396 0.044
0.500 0.887 0.457
0.500 0.113 0.957
```

TbEr5Pd6 | GGA-PBE | relaxed

## Properties
As for the energy of formation: -913.1 meV/atom. The space-group type is Immm (71).

POSCAR file:
```
TbEr5Pd6
1.0
4.778 0.020 -1.395
-0.937 5.999 -3.124
-0.097 0.556 8.559
Tb Pd Er
1 6 5
Direct
0.000 0.000 0.000
0.832 0.580 0.663
0.831 0.083 0.663
0.500 0.746 0.000
0.500 0.254 0.000
0.169 0.917 0.337
0.168 0.420 0.337
0.667 0.167 0.334
0.333 0.333 0.667
0.000 0.500 0.000
0.667 0.667 0.333
0.333 0.833 0.666
```

BaSi2CN | GGA-PBE | relaxed

## Properties
Its energy relative to the elements, uncorrected is 1.177 eV per atom. The space-group type is P4/mmm (123).

POSCAR file:
```
BaSi2CN
1.0
3.993 0.000 0.000
0.000 5.733 0.000
0.000 0.000 3.993
C Si Ba N
1 2 1 1
Direct
0.500 0.500 0.500
0.000 0.000 0.500
0.500 0.000 0.000
0.000 0.500 0.000
0.000 0.000 0.000
```

LiCaBr | GGA-PBE | relaxed

## Properties
Its energy relative to the elements, uncorrected is -0.792 eV per atom. The space-group type is I4mm (107).

POSCAR file:
```
LiCaBr
1.0
7.237 0.087 0.000
5.318 4.909 0.000
-6.277 -2.498 2.595
Br Ca Li
1 1 1
Direct
0.978 0.978 0.000
0.351 0.351 0.000
0.671 0.671 0.000
```

KInBr3 | GGA-PBE | relaxed

## Properties
Its energy relative to the elements, uncorrected is -1.129 eV per atom. The space-group type is P1 (1).

POSCAR file:
```
KInBr3
1.0
5.010 -0.185 -0.169
-0.210 9.249 1.026
-0.244 3.303 8.724
K In Br
2 2 6
Direct
0.959 0.225 0.616
0.569 0.722 0.113
0.768 0.630 0.719
0.566 0.139 0.174
0.489 0.368 0.782
0.024 0.537 0.991
0.439 0.331 0.357
0.531 0.882 0.678
0.094 0.994 0.024
0.983 0.696 0.457
```